Record 1
VASP calculation (PBE) on crystalline SrCoPt at its relaxed geometry.

a b c (Å): 4.5363 4.5363 4.5363
angles (deg): 60.00 60.00 60.00
Element x y z (fractional)
Co: 0.7500 0.7500 0.7500
Sr: 0.5000 0.5000 0.5000
Pt: 0.0000 0.0000 0.0000

E_form = 0.2177 eV per atom
Fermi-level density of states = 5.568 states/eV per cell

Record 2
VASP calculation (PBE) on crystalline LiIn5Ga2 at its relaxed geometry.

a b c (Å): 6.4329 6.4329 6.4317
angles (deg): 120.11 120.11 89.83
Element x y z (fractional)
In: 0.2778 0.7779 0.0000
In: 0.2780 0.2779 0.0000
In: 0.2779 0.2779 0.5000
In: 0.7779 0.7779 0.5000
In: 0.7780 0.2780 0.0000
Ga: 0.7779 0.2779 0.5000
Ga: 0.2779 0.7779 0.5000
Li: 0.7776 0.7777 0.0000

E_form = -0.0243 eV per atom
Fermi-level density of states = 4.221 states/eV per cell

Record 3
VASP calculation (PBE) on crystalline PmNp2Ga9 at its relaxed geometry.

a b c (Å): 5.5360 5.5360 9.4164
angles (deg): 72.91 72.91 60.00
Element x y z (fractional)
Ga: 0.4110 0.4110 0.2544
Ga: 0.5890 0.0764 0.7456
Ga: 0.0764 0.5890 0.7456
Ga: 0.4110 0.9236 0.2544
Ga: 0.5000 0.5000 0.5000
Ga: 0.6639 0.6639 0.0083
Ga: 0.3361 0.3361 0.9917
Ga: 0.5890 0.5890 0.7456
Ga: 0.9236 0.4110 0.2544
Np: 0.1435 0.1435 0.5695
Np: 0.8565 0.8565 0.4305
Pm: 0.0000 0.0000 0.0000

E_form = -0.2067 eV per atom
Fermi-level density of states = 17.678 states/eV per cell
energy above the most stable polymorph in this dataset = 107 meV per atom

Record 4
VASP calculation (PBE) on crystalline HoSc2Pt at its relaxed geometry.

a b c (Å): 3.3809 3.3809 7.9814
angles (deg): 90.00 90.00 90.00
Element x y z (fractional)
Pt: 0.5000 0.5000 0.0000
Sc: 0.0000 0.0000 0.8052
Sc: 0.0000 0.0000 0.1948
Ho: 0.5000 0.5000 0.5000

E_form = -0.5883 eV per atom
Fermi-level density of states = 5.591 states/eV per cell
energy above the most stable polymorph in this dataset = 119 meV per atom

Record 5
VASP calculation (PBE) on crystalline Pu2H2SI at its relaxed geometry.

a b c (Å): 3.9206 3.9206 8.3159
angles (deg): 90.00 90.00 120.00
Element x y z (fractional)
H: 0.6667 0.3333 0.7326
H: 0.3333 0.6667 0.2674
Pu: 0.6667 0.3333 0.2960
Pu: 0.3333 0.6667 0.7040
I: 0.0000 0.0000 0.0000
S: 0.0000 0.0000 0.5000

E_tot = -7.8319 eV/atom
Fermi-level density of states = 15.244 states/eV per cell

Record 6
VASP calculation (PBE) on crystalline LiLa3Pd12 at its relaxed geometry.

a b c (Å): 4.2204 4.2204 16.1100
angles (deg): 90.00 90.00 90.00
Element x y z (fractional)
La: 0.0000 0.0000 0.7641
La: 0.0000 0.0000 0.5000
La: 0.0000 0.0000 0.2359
Pd: 0.5000 0.5000 0.7615
Pd: 0.5000 0.5000 0.2385
Pd: 0.0000 0.5000 0.6308
Pd: 0.5000 0.0000 0.1081
Pd: 0.5000 0.5000 0.0000
Pd: 0.5000 0.0000 0.6308
Pd: 0.0000 0.5000 0.1081
Pd: 0.5000 0.5000 0.5000
Pd: 0.5000 0.0000 0.3692
Pd: 0.0000 0.5000 0.8919
Pd: 0.0000 0.5000 0.3692
Pd: 0.5000 0.0000 0.8919
Li: 0.0000 0.0000 0.0000

E_form = -0.6450 eV per atom
Fermi-level density of states = 12.793 states/eV per cell

Record 7
VASP calculation (PBE) on crystalline Tb2NdTl4 at its relaxed geometry.

a b c (Å): 4.9030 4.9030 10.6795
angles (deg): 76.73 76.73 60.00
Element x y z (fractional)
Tl: 0.6151 0.6151 0.1548
Tl: 0.7575 0.7575 0.7274
Tl: 0.3849 0.3849 0.8452
Tl: 0.2425 0.2425 0.2726
Nd: 0.0000 0.0000 0.0000
Tb: 0.1298 0.1298 0.6107
Tb: 0.8702 0.8702 0.3893

E_form = -0.1300 eV per atom
Fermi-level density of states = 5.133 states/eV per cell
energy above the most stable polymorph in this dataset = 98 meV per atom

Record 8
VASP calculation (PBE) on crystalline La4DyZn at its relaxed geometry.

a b c (Å): 3.7270 3.7270 14.0895
angles (deg): 90.00 90.00 90.00
Element x y z (fractional)
La: 0.5000 0.5000 0.1782
La: 0.0000 0.0000 0.6343
La: 0.5000 0.5000 0.8218
La: 0.0000 0.0000 0.3657
Dy: 0.0000 0.0000 0.0000
Zn: 0.5000 0.5000 0.5000

E_form = -0.0910 eV per atom
Fermi-level density of states = 8.730 states/eV per cell
energy above the most stable polymorph in this dataset = 0 meV per atom